Below is a geometry-optimized TiRhBr2O structure, with properties calculated at the GGA-PBE level.

Space group = No. 123
Total magnetization = 0.37 Bohr magnetons per cell
ΔE_f (raw) = 0.3203 eV/atom

```
5
Lattice="5.5168 0.0000 0.0000 0.0000 3.5743 0.0000 0.0000 0.0000 5.5168" Properties=species:S:1:pos:R:3 pbc="T T T"
Rh 0.0000 1.7871 0.0000
O 0.0000 0.0000 0.0000
Br 0.0000 0.0000 2.7584
Br 2.7584 0.0000 0.0000
Ti 2.7584 1.7871 2.7584
```